Here is crystalline Na2Sn4Rh5 at its relaxed geometry from the Alexandria database. Energies are from PBE.

a = 5.9193 Å, b = 5.9297 Å, c = 8.4060 Å
α = 79.88°, β = 69.39°, γ = 60.06°
With the nearest neighbours (Å) after each atom.
Sites, in units of the cell vectors:
Sn (0.2111, 0.3187, 0.2590)  5 Rh 2.58-2.69
Sn (0.5299, 0.6813, 0.2590)  5 Rh 2.58-2.69
Sn (0.4701, 0.3187, 0.7410)  5 Rh 2.58-2.69
Sn (0.7889, 0.6813, 0.7410)  5 Rh 2.58-2.69
Rh (0.2500, 0.5000, 0.5000)  4 Sn 2.58
Rh (0.7500, 0.5000, 0.5000)  4 Sn 2.58
Rh (0.5000, 0.5000, 0.0000)  4 Sn 2.69, 4 Rh 2.96
Rh (0.0000, 0.5000, 0.0000)  4 Sn 2.69, 4 Rh 2.96
Rh (0.5000, 0.0000, 0.0000)  4 Sn 2.61
Na (0.1039, 0.0000, 0.7922)  1 Na 3.27, 6 Rh 3.38-3.39, 6 Sn 3.41-3.52
Na (0.8961, 0.0000, 0.2078)  1 Na 3.27, 6 Rh 3.38-3.39, 6 Sn 3.41-3.52

## Properties
energy of formation from the pure elements: -0.2682 eV/atom
SG: Fmmm (69)
electronic total energy: -58.357 eV per cell



Here is crystalline NaSn3Rh at its relaxed geometry from the Alexandria database. Energies are from PBE.

a = 5.1852 Å, b = 5.1852 Å, c = 5.1852 Å
α = 90.00°, β = 90.00°, γ = 90.00°
With the nearest neighbours (Å) after each atom.
Sites, in units of the cell vectors:
Sn (0.0000, 0.0000, 0.5000)  2 Na 2.59
Sn (0.0000, 0.5000, 0.0000)  2 Na 2.59
Sn (0.5000, 0.0000, 0.0000)  2 Na 2.59
Na (0.0000, 0.0000, 0.0000)  6 Sn 2.59
Rh (0.5000, 0.5000, 0.5000)  12 Sn 3.67

## Properties
energy of formation from the pure elements: 1.1058 eV/atom
SG: Pm-3m (221)
ΔE to the lowest computed polymorph: 1395 meV per atom
electronic total energy: -15.150 eV per cell



Here is crystalline NaSn2Rh at its relaxed geometry from the Alexandria database. Energies are from PBE.

a = 5.3917 Å, b = 5.3917 Å, c = 9.2284 Å
α = 73.01°, β = 73.01°, γ = 90.00°
With the nearest neighbours (Å) after each atom.
Sites, in units of the cell vectors:
Rh (0.0000, 0.0000, 0.0000)  4 Sn 2.58
Rh (0.7500, 0.2500, 0.5000)  4 Sn 2.58
Sn (0.8750, 0.0038, 0.7500)  2 Rh 2.58
Sn (0.9962, 0.6250, 0.2500)  2 Rh 2.58
Sn (0.3750, 0.2462, 0.7500)  2 Rh 2.58
Sn (0.7538, 0.1250, 0.2500)  2 Rh 2.58
Na (0.2500, 0.7500, 0.5000)  4 Sn 3.23
Na (0.5000, 0.5000, 0.0000)  4 Sn 3.23

## Properties
energy of formation from the pure elements: 0.0697 eV/atom
SG: I-42d (122)
electronic total energy: -32.795 eV per cell



Here is crystalline NaSn2Rh2 at its relaxed geometry from the Alexandria database. Energies are from PBE.

a = 4.5081 Å, b = 4.5081 Å, c = 6.2431 Å
α = 68.84°, β = 68.84°, γ = 90.00°
With the nearest neighbours (Å) after each atom.
Sites, in units of the cell vectors:
Na (0.0000, 0.0000, 0.0000)  8 Rh 3.43, 8 Sn 3.50
Sn (0.7500, 0.2500, 0.5000)  4 Rh 2.67
Sn (0.2500, 0.7500, 0.5000)  4 Rh 2.67
Rh (0.6169, 0.6169, 0.7662)  1 Rh 2.51, 4 Sn 2.67
Rh (0.3831, 0.3831, 0.2338)  1 Rh 2.51, 4 Sn 2.67

## Properties
energy of formation from the pure elements: -0.2131 eV/atom
SG: I4/mmm (139)
ΔE to the lowest computed polymorph: 207 meV per atom
electronic total energy: -25.093 eV per cell



Here is crystalline Na2Sn2Rh at its relaxed geometry from the Alexandria database. Energies are from PBE.

a = 6.9127 Å, b = 6.9127 Å, c = 5.2611 Å
α = 90.00°, β = 90.00°, γ = 90.00°
With the nearest neighbours (Å) after each atom.
Sites, in units of the cell vectors:
Rh (0.5000, 0.5000, 0.0000)  4 Sn 2.63
Rh (0.0000, 0.0000, 0.0000)  4 Sn 2.63
Na (0.8255, 0.3255, 0.5000)  6 Sn 3.14-3.47, 1 Na 3.41
Na (0.3255, 0.1745, 0.5000)  6 Sn 3.14-3.47, 1 Na 3.41
Na (0.1745, 0.6745, 0.5000)  6 Sn 3.14-3.47, 1 Na 3.41
Na (0.6745, 0.8255, 0.5000)  6 Sn 3.14-3.47, 1 Na 3.41
Sn (0.1509, 0.3491, 0.0000)  2 Rh 2.63
Sn (0.6509, 0.1509, 0.0000)  2 Rh 2.63
Sn (0.8491, 0.6509, 0.0000)  2 Rh 2.63
Sn (0.3491, 0.8491, 0.0000)  2 Rh 2.63

## Properties
energy of formation from the pure elements: -0.1660 eV/atom
SG: P4/mbm (127)
electronic total energy: -37.650 eV per cell



Here is crystalline NaSn3Rh at its relaxed geometry from the Alexandria database. Energies are from PBE.

a = 5.2094 Å, b = 5.2094 Å, c = 5.2094 Å
α = 90.00°, β = 90.00°, γ = 90.00°
With the nearest neighbours (Å) after each atom.
Sites, in units of the cell vectors:
Na (0.5000, 0.5000, 0.5000)  12 Sn 3.68
Rh (0.0000, 0.0000, 0.0000)  6 Sn 2.60
Sn (0.0000, 0.5000, 0.0000)  2 Rh 2.60
Sn (0.0000, 0.0000, 0.5000)  2 Rh 2.60
Sn (0.5000, 0.0000, 0.0000)  2 Rh 2.60

## Properties
energy of formation from the pure elements: -0.0245 eV/atom
SG: Pm-3m (221)
ΔE to the lowest computed polymorph: 265 meV per atom
electronic total energy: -20.802 eV per cell



Here is crystalline NaSrSn2Rh at its relaxed geometry from the Alexandria database. Energies are from PBE.

a = 5.8585 Å, b = 5.4718 Å, c = 5.8585 Å
α = 90.00°, β = 90.00°, γ = 90.00°
With the nearest neighbours (Å) after each atom.
Sites, in units of the cell vectors:
Na (0.0000, 0.5000, 0.0000)  2 Sr 2.74
Sr (0.0000, 0.0000, 0.0000)  2 Na 2.74, 4 Sn 2.93
Sn (0.0000, 0.0000, 0.5000)  2 Sr 2.93
Sn (0.5000, 0.0000, 0.0000)  2 Sr 2.93
Rh (0.5000, 0.5000, 0.5000)  8 Sn 4.01, 4 Na 4.14

## Properties
energy of formation from the pure elements: 1.3650 eV/atom
SG: P4/mmm (123)
electronic total energy: -11.533 eV per cell



Here is crystalline NaSr2Sn3Rh4 at its relaxed geometry from the Alexandria database. Energies are from PBE.

a = 4.4918 Å, b = 4.4918 Å, c = 11.1732 Å
α = 90.00°, β = 90.00°, γ = 90.00°
With the nearest neighbours (Å) after each atom.
Sites, in units of the cell vectors:
Na (0.5000, 0.5000, 0.5000)  4 Rh 2.74
Rh (0.0000, 0.0000, 0.0000)  4 Sn 2.64
Rh (0.0000, 0.5000, 0.3591)  3 Sn 2.62-2.74, 2 Na 2.74
Rh (0.5000, 0.5000, 0.0000)  4 Sn 2.64
Rh (0.5000, 0.0000, 0.6409)  3 Sn 2.62-2.74, 2 Na 2.74
Sr (0.0000, 0.5000, 0.7516)  8 Rh 3.41-3.57, 6 Sn 3.47-3.60, 2 Na 3.60
Sr (0.5000, 0.0000, 0.2484)  8 Rh 3.41-3.57, 6 Sn 3.47-3.60, 2 Na 3.60
Sn (0.5000, 0.0000, 0.8758)  5 Rh 2.62-2.64
Sn (0.0000, 0.5000, 0.1242)  5 Rh 2.62-2.64
Sn (0.0000, 0.0000, 0.5000)  4 Rh 2.74

## Properties
energy of formation from the pure elements: -0.4966 eV/atom
SG: P-4m2 (115)
electronic total energy: -51.063 eV per cell



Here is crystalline NaTl2SnRh at its relaxed geometry from the Alexandria database. Energies are from PBE.

a = 5.3173 Å, b = 5.3173 Å, c = 5.1964 Å
α = 90.00°, β = 90.00°, γ = 90.00°
With the nearest neighbours (Å) after each atom.
Sites, in units of the cell vectors:
Na (0.5000, 0.5000, 0.5000)  8 Tl 3.72, 4 Sn 3.76
Rh (0.0000, 0.0000, 0.0000)  2 Sn 2.60, 4 Tl 2.66
Tl (0.0000, 0.5000, 0.0000)  2 Rh 2.66
Tl (0.5000, 0.0000, 0.0000)  2 Rh 2.66
Sn (0.0000, 0.0000, 0.5000)  2 Rh 2.60

## Properties
energy of formation from the pure elements: -0.0275 eV/atom
SG: P4/mmm (123)
electronic total energy: -17.543 eV per cell



Here is crystalline NaSr3Rh at its relaxed geometry from the Alexandria database. Energies are from PBE.

a = 5.0105 Å, b = 5.0105 Å, c = 21.4622 Å
α = 90.00°, β = 90.00°, γ = 120.00°
With the nearest neighbours (Å) after each atom.
Sites, in units of the cell vectors:
Na (0.0000, 0.0000, 0.5000)  6 Sr 3.83
Na (0.0000, 0.0000, 0.0000)  6 Sr 3.83
Sr (0.6667, 0.3333, 0.3833)  1 Rh 2.86
Sr (0.6667, 0.3333, 0.1167)  1 Rh 2.86
Sr (0.3333, 0.6667, 0.8833)  1 Rh 2.86
Sr (0.3333, 0.6667, 0.6167)  1 Rh 2.86
Sr (0.0000, 0.0000, 0.7500)  3 Rh 2.89
Sr (0.0000, 0.0000, 0.2500)  3 Rh 2.89
Rh (0.3333, 0.6667, 0.7500)  5 Sr 2.86-2.89
Rh (0.6667, 0.3333, 0.2500)  5 Sr 2.86-2.89

## Properties
energy of formation from the pure elements: 0.1312 eV/atom
SG: P6_3/mmc (194)
ΔE to the lowest computed polymorph: 283 meV per atom
electronic total energy: -26.120 eV per cell



Here is crystalline NaSr3Rh at its relaxed geometry from the Alexandria database. Energies are from PBE.

a = 6.0218 Å, b = 9.7336 Å, c = 12.8563 Å
α = 90.00°, β = 90.00°, γ = 90.00°
With the nearest neighbours (Å) after each atom.
Sites, in units of the cell vectors:
Sr (0.9997, 0.4393, 0.1336)  2 Rh 3.10-3.30
Sr (0.0009, 0.2500, 0.6683)  3 Rh 3.22-3.25, 2 Na 3.26
Sr (0.4997, 0.4393, 0.3664)  2 Rh 3.10-3.30
Sr (0.9997, 0.0607, 0.1336)  2 Rh 3.10-3.30
Sr (0.4997, 0.0607, 0.3664)  2 Rh 3.10-3.30
Sr (0.9991, 0.7500, 0.3317)  3 Rh 3.22-3.25, 2 Na 3.26
Sr (0.0003, 0.5607, 0.8664)  2 Rh 3.10-3.30
Sr (0.5003, 0.9393, 0.6336)  2 Rh 3.10-3.30
Sr (0.5003, 0.5607, 0.6336)  2 Rh 3.10-3.30
Sr (0.4991, 0.7500, 0.1683)  3 Rh 3.22-3.25, 2 Na 3.26
Sr (0.5009, 0.2500, 0.8317)  3 Rh 3.22-3.25, 2 Na 3.26
Sr (0.0003, 0.9393, 0.8664)  2 Rh 3.10-3.30
Na (0.5000, 0.5000, 0.0000)  6 Sr 3.26-3.52
Na (0.0000, 0.0000, 0.5000)  6 Sr 3.26-3.52
Na (0.5000, 0.0000, 0.0000)  6 Sr 3.26-3.52
Na (0.0000, 0.5000, 0.5000)  6 Sr 3.26-3.52
Rh (0.0004, 0.2500, 0.9208)  7 Sr 3.10-3.30
Rh (0.5004, 0.2500, 0.5792)  7 Sr 3.10-3.30
Rh (0.9996, 0.7500, 0.0792)  7 Sr 3.10-3.30
Rh (0.4996, 0.7500, 0.4208)  7 Sr 3.10-3.30

## Properties
energy of formation from the pure elements: 0.0207 eV/atom
SG: Pnma (62)
ΔE to the lowest computed polymorph: 172 meV per atom
electronic total energy: -54.449 eV per cell



Here is crystalline NaSr6Rh at its relaxed geometry from the Alexandria database. Energies are from PBE.

a = 7.4274 Å, b = 9.5240 Å, c = 7.4742 Å
α = 50.42°, β = 80.15°, γ = 74.42°
With the nearest neighbours (Å) after each atom.
Sites, in units of the cell vectors:
Sr (0.2222, 0.7799, 0.6407)  1 Rh 2.90
Sr (0.2222, 0.4207, 0.3593)  1 Rh 2.90
Sr (0.7778, 0.2201, 0.3593)  1 Rh 2.90
Sr (0.7778, 0.5793, 0.6407)  1 Rh 2.90
Sr (0.5889, 0.7780, 0.0000)  1 Rh 2.90
Sr (0.4111, 0.2220, 0.0000)  1 Rh 2.90
Rh (0.5000, 0.5000, 0.0000)  6 Sr 2.90
Na (0.0000, 0.0000, 0.0000)  12 Sr 4.15-4.32

## Properties
energy of formation from the pure elements: -0.0908 eV/atom
SG: C2/m (12)
ΔE to the lowest computed polymorph: 36 meV per atom
electronic total energy: -19.488 eV per cell